{"formula": "TlAgTe3", "functional": "GGA-PBE", "state": "optimized geometry", "lattice": [[5.530, 0.000, 0.000], [0.000, 5.530, 0.000], [0.000, 0.000, 5.530]], "species": ["Te", "Te", "Te", "Tl", "Ag"], "fractional_positions": [[0.000, 0.500, 0.000], [0.000, 0.000, 0.500], [0.500, 0.000, 0.000], [0.500, 0.500, 0.500], [0.000, 0.000, 0.000]], "de_polymorph_mev_per_atom": 326.2, "raw_formation_energy_mev_per_atom": 239.9, "mass_density_g_cm3": 6.8}

=====

{"formula": "Ti4Mo3Pt", "functional": "GGA-PBE", "state": "optimized geometry", "lattice": [[3.180, 0.000, 0.000], [0.000, 4.502, 0.000], [0.000, 0.000, 8.796]], "species": ["Mo", "Mo", "Mo", "Pt", "Ti", "Ti", "Ti", "Ti"], "fractional_positions": [[0.500, 0.000, 0.248], [0.500, 0.500, 0.500], [0.500, 0.000, 0.752], [0.500, 0.500, 0.000], [0.000, 0.500, 0.747], [0.000, 0.000, 0.500], [0.000, 0.000, 0.000], [0.000, 0.500, 0.253]], "formation_enthalpy_0k_ev_per_atom": -0.364, "mass_density_g_cm3": 8.9}

=====

{"formula": "Nd3Pu2Ru4", "functional": "GGA-PBE", "state": "optimized geometry", "lattice": [[4.236, 0.000, 0.000], [-2.118, 5.441, -1.372], [0.000, 0.343, 9.000]], "species": ["Ru", "Ru", "Ru", "Ru", "Nd", "Nd", "Nd", "Pu", "Pu"], "fractional_positions": [[0.280, 0.561, 0.907], [0.720, 0.439, 0.093], [0.913, 0.825, 0.368], [0.087, 0.175, 0.632], [0.625, 0.249, 0.386], [0.000, 0.000, 0.000], [0.375, 0.751, 0.614], [0.328, 0.655, 0.216], [0.672, 0.345, 0.784]], "formation_enthalpy_0k_ev_per_atom": -0.264, "mass_density_g_cm3": 10.5}

=====

{"formula": "Mn2ZnSe", "functional": "GGA-PBE", "state": "optimized geometry", "lattice": [[-4.016, -0.456, -1.124], [0.408, -3.919, 0.132], [-0.993, 0.016, 3.541]], "species": ["Mn", "Mn", "Zn", "Se"], "fractional_positions": [[0.500, 0.500, 0.000], [0.000, 0.000, 0.000], [0.000, 0.500, 0.500], [0.500, 0.000, 0.500]], "de_polymorph_mev_per_atom": 80.8, "raw_formation_energy_mev_per_atom": 146.5, "mass_density_g_cm3": 6.9}